[1]
Tm5Bi2Ru2 after structural relaxation. Source: Alexandria, functional GGA-PBE.

Unit cell a=8.336 b=6.820 c=9.998 alpha=109.94 beta=114.64 gamma=90.00
Sites, in units of the cell vectors:
Tm 0.259 0.637 0.923
Tm 0.741 0.714 0.077
Tm 0.164 0.137 0.923
Tm 0.836 0.214 0.077
Tm 0.248 0.092 0.297
Tm 0.752 0.795 0.703
Tm 0.549 0.592 0.297
Tm 0.451 0.295 0.703
Tm 0.039 0.789 0.500
Tm 0.961 0.289 0.500
Bi 0.150 0.589 0.217
Bi 0.850 0.372 0.783
Bi 0.567 0.089 0.217
Bi 0.433 0.872 0.783
Ru 0.000 0.868 0.000
Ru 0.500 0.368 0.000
Ru 0.236 0.478 0.500
Ru 0.764 0.978 0.500

Summary:
The density of states at the Fermi level comes out at 5.3 states/eV/f.u. The calculation puts the total energy at -5.77 eV/atom. The formation energy from the elements is -3.24 eV/f.u.

***

[2]
UBiRu2 after structural relaxation. Source: Alexandria, functional GGA-PBE.

Unit cell a=3.436 b=3.436 c=8.350 alpha=78.13 beta=78.13 gamma=60.00
Sites, in units of the cell vectors:
Ru 0.735 0.735 0.796
Ru 0.265 0.265 0.204
U 0.000 0.000 0.000
Bi 0.500 0.500 0.500

Summary:
The density of states at the Fermi level comes out at 4.2 states/eV/f.u. The calculation puts the total energy at -8.37 eV/atom. The formation energy from the elements is 0.24 eV/f.u.

***

[3]
VBiRu2 after structural relaxation. Source: Alexandria, functional GGA-PBE.

Unit cell a=4.207 b=4.207 c=9.014 alpha=76.51 beta=76.51 gamma=90.00
Sites, in units of the cell vectors:
Ru 0.560 0.125 0.250
Ru 0.190 0.625 0.250
Ru 0.375 0.440 0.750
Ru 0.875 0.810 0.750
Bi 0.000 0.000 0.000
Bi 0.750 0.250 0.500
V 0.500 0.500 0.000
V 0.250 0.750 0.500

Summary:
The density of states at the Fermi level comes out at 4.2 states/eV/f.u. The calculation puts the total energy at -7.24 eV/atom. The formation energy from the elements is 2.58 eV/f.u.

***

[4]
VBi2Ru after structural relaxation. Source: Alexandria, functional GGA-PBE.

Unit cell a=6.522 b=6.522 c=7.357 alpha=63.69 beta=63.69 gamma=90.00
Sites, in units of the cell vectors:
Ru 0.000 0.000 0.000
Ru 0.750 0.250 0.500
Bi 0.648 0.125 0.250
Bi 0.102 0.625 0.250
Bi 0.375 0.352 0.750
Bi 0.875 0.898 0.750
V 0.500 0.500 0.000
V 0.250 0.750 0.500

Summary:
The density of states at the Fermi level comes out at 4.2 states/eV/f.u. The calculation puts the total energy at -5.60 eV/atom. The formation energy from the elements is 3.76 eV/f.u. The calculation puts the relative energy among the computed polymorphs at 499 meV per atom.

***

[5]
VBi3Ru after structural relaxation. Source: Alexandria, functional GGA-PBE.

Unit cell a=5.271 b=5.271 c=5.271 alpha=90.00 beta=90.00 gamma=90.00
Sites, in units of the cell vectors:
Ru 0.000 0.000 0.000
Bi 0.000 0.500 0.000
Bi 0.000 0.000 0.500
Bi 0.500 0.000 0.000
V 0.500 0.500 0.500

Summary:
The density of states at the Fermi level comes out at 6.8 states/eV/f.u. The calculation puts the total energy at -5.14 eV/atom. The formation energy from the elements is 4.34 eV/f.u. The calculation puts the relative energy among the computed polymorphs at 0 meV per atom.

***

[6]
V2BiRu after structural relaxation. Source: Alexandria, functional GGA-PBE.

Unit cell a=3.856 b=3.856 c=9.902 alpha=78.77 beta=78.77 gamma=90.00
Sites, in units of the cell vectors:
Ru 0.500 0.500 0.000
Ru 0.250 0.750 0.500
Bi 0.000 0.000 0.000
Bi 0.750 0.250 0.500
V 0.631 0.125 0.250
V 0.119 0.625 0.250
V 0.375 0.369 0.750
V 0.875 0.881 0.750

Summary:
The density of states at the Fermi level comes out at 4.7 states/eV/f.u. The calculation puts the total energy at -7.11 eV/atom. The formation energy from the elements is 2.95 eV/f.u.

***

[7]
V3BiRu after structural relaxation. Source: Alexandria, functional GGA-PBE.

Unit cell a=4.636 b=4.636 c=4.636 alpha=90.00 beta=90.00 gamma=90.00
Sites, in units of the cell vectors:
Ru 0.000 0.000 0.000
Bi 0.500 0.500 0.500
V 0.000 0.500 0.000
V 0.000 0.000 0.500
V 0.500 0.000 0.000

Summary:
The density of states at the Fermi level comes out at 9.5 states/eV/f.u. The calculation puts the total energy at -7.29 eV/atom. The formation energy from the elements is 4.07 eV/f.u.

***

[8]
VBi2Ru2 after structural relaxation. Source: Alexandria, functional GGA-PBE.

Unit cell a=6.662 b=6.662 c=4.461 alpha=90.00 beta=90.00 gamma=90.00
Sites, in units of the cell vectors:
Ru 0.359 0.859 0.000
Ru 0.859 0.641 0.000
Ru 0.641 0.141 0.000
Ru 0.141 0.359 0.000
Bi 0.175 0.675 0.500
Bi 0.675 0.825 0.500
Bi 0.825 0.325 0.500
Bi 0.325 0.175 0.500
V 0.000 0.000 0.000
V 0.500 0.500 0.000

Summary:
The density of states at the Fermi level comes out at 5.9 states/eV/f.u. The calculation puts the total energy at -6.62 eV/atom. The formation energy from the elements is 2.33 eV/f.u. The calculation puts the relative energy among the computed polymorphs at 0 meV per atom.

***

[9]
VBi2Ru2 after structural relaxation. Source: Alexandria, functional GGA-PBE.

Unit cell a=5.439 b=5.439 c=5.312 alpha=59.21 beta=59.21 gamma=90.00
Sites, in units of the cell vectors:
Ru 0.324 0.324 0.352
Ru 0.676 0.676 0.648
Bi 0.750 0.250 0.500
Bi 0.250 0.750 0.500
V 0.000 0.000 0.000

Summary:
The density of states at the Fermi level comes out at 6.4 states/eV/f.u. The calculation puts the total energy at -6.35 eV/atom. The formation energy from the elements is 3.70 eV/f.u. The calculation puts the relative energy among the computed polymorphs at 273 meV per atom.

***

[10]
VBi2Ru after structural relaxation. Source: Alexandria, functional GGA-PBE.

Unit cell a=4.882 b=4.882 c=4.882 alpha=60.00 beta=60.00 gamma=60.00
Sites, in units of the cell vectors:
Ru 0.500 0.500 0.500
Bi 0.250 0.250 0.250
Bi 0.750 0.750 0.750
V 0.000 0.000 0.000

Summary:
The density of states at the Fermi level comes out at 3.0 states/eV/f.u. The calculation puts the total energy at -6.10 eV/atom. The formation energy from the elements is 1.77 eV/f.u. The calculation puts the relative energy among the computed polymorphs at 0 meV per atom.

***

[11]
Bi2RuW after structural relaxation. Source: Alexandria, functional GGA-PBE.

Unit cell a=4.828 b=4.828 c=4.828 alpha=60.00 beta=60.00 gamma=60.00
Sites, in units of the cell vectors:
Ru 0.000 0.000 0.000
Bi 0.250 0.250 0.250
Bi 0.750 0.750 0.750
W 0.500 0.500 0.500

Summary:
The density of states at the Fermi level comes out at 2.2 states/eV/f.u. The calculation puts the total energy at -6.67 eV/atom. The formation energy from the elements is 3.30 eV/f.u. The calculation puts the relative energy among the computed polymorphs at 0 meV per atom.

***

[12]
BiRu2W after structural relaxation. Source: Alexandria, functional GGA-PBE.

Unit cell a=5.866 b=5.866 c=7.106 alpha=65.62 beta=65.62 gamma=90.00
Sites, in units of the cell vectors:
Ru 0.589 0.125 0.250
Ru 0.161 0.625 0.250
Ru 0.375 0.411 0.750
Ru 0.875 0.839 0.750
Bi 0.000 0.000 0.000
Bi 0.750 0.250 0.500
W 0.500 0.500 0.000
W 0.250 0.750 0.500

Summary:
The density of states at the Fermi level comes out at 2.3 states/eV/f.u. The calculation puts the total energy at -7.82 eV/atom. The formation energy from the elements is 4.10 eV/f.u.

***

[13]
Bi3RuW after structural relaxation. Source: Alexandria, functional GGA-PBE.

Unit cell a=5.347 b=5.347 c=5.347 alpha=90.00 beta=90.00 gamma=90.00
Sites, in units of the cell vectors:
Ru 0.500 0.500 0.500
Bi 0.000 0.500 0.000
Bi 0.000 0.000 0.500
Bi 0.500 0.000 0.000
W 0.000 0.000 0.000

Summary:
The density of states at the Fermi level comes out at 10.4 states/eV/f.u. The calculation puts the total energy at -5.27 eV/atom. The formation energy from the elements is 7.51 eV/f.u. The calculation puts the relative energy among the computed polymorphs at 91 meV per atom.

***

[14]
Bi3RuW after structural relaxation. Source: Alexandria, functional GGA-PBE.

Unit cell a=5.242 b=5.242 c=5.242 alpha=90.00 beta=90.00 gamma=90.00
Sites, in units of the cell vectors:
Ru 0.000 0.000 0.000
Bi 0.000 0.500 0.000
Bi 0.000 0.000 0.500
Bi 0.500 0.000 0.000
W 0.500 0.500 0.500

Summary:
The density of states at the Fermi level comes out at 4.0 states/eV/f.u. The calculation puts the total energy at -5.36 eV/atom. The formation energy from the elements is 7.06 eV/f.u. The calculation puts the relative energy among the computed polymorphs at 0 meV per atom.

***

[15]
Bi2RuW after structural relaxation. Source: Alexandria, functional GGA-PBE.

Unit cell a=4.423 b=4.423 c=9.794 alpha=76.95 beta=76.95 gamma=90.00
Sites, in units of the cell vectors:
Ru 0.500 0.500 0.000
Ru 0.250 0.750 0.500
Bi 0.619 0.125 0.250
Bi 0.131 0.625 0.250
Bi 0.375 0.381 0.750
Bi 0.875 0.869 0.750
W 0.000 0.000 0.000
W 0.750 0.250 0.500

Summary:
The density of states at the Fermi level comes out at 4.9 states/eV/f.u. The calculation puts the total energy at -6.33 eV/atom. The formation energy from the elements is 4.69 eV/f.u. The calculation puts the relative energy among the computed polymorphs at 346 meV per atom.

***

[16]
YBiRu2W after structural relaxation. Source: Alexandria, functional GGA-PBE.

Unit cell a=4.940 b=4.940 c=5.082 alpha=90.00 beta=90.00 gamma=90.00
Sites, in units of the cell vectors:
Y 0.500 0.500 0.500
Ru 0.000 0.500 0.000
Ru 0.500 0.000 0.000
Bi 0.000 0.000 0.000
W 0.000 0.000 0.500

Summary:
The density of states at the Fermi level comes out at 5.6 states/eV/f.u. The calculation puts the total energy at -6.75 eV/atom. The formation energy from the elements is 8.11 eV/f.u.

***

[17]
YBi3Ru after structural relaxation. Source: Alexandria, functional GGA-PBE.

Unit cell a=5.331 b=5.331 c=5.331 alpha=90.00 beta=90.00 gamma=90.00
Sites, in units of the cell vectors:
Y 0.500 0.500 0.500
Ru 0.000 0.000 0.000
Bi 0.000 0.500 0.000
Bi 0.000 0.000 0.500
Bi 0.500 0.000 0.000

Summary:
The density of states at the Fermi level comes out at 8.2 states/eV/f.u. The calculation puts the total energy at -5.20 eV/atom. The formation energy from the elements is 1.40 eV/f.u. The calculation puts the relative energy among the computed polymorphs at 0 meV per atom.

***

[18]
Y6BiRu2 after structural relaxation. Source: Alexandria, functional GGA-PBE.

Unit cell a=8.580 b=8.580 c=8.580 alpha=105.47 beta=112.40 gamma=110.62
Sites, in units of the cell vectors:
Y 0.533 0.818 0.716
Y 0.467 0.182 0.284
Y 0.102 0.818 0.284
Y 0.898 0.182 0.716
Y 0.788 0.027 0.239
Y 0.212 0.973 0.761
Y 0.212 0.451 0.239
Y 0.788 0.549 0.761
Y 0.685 0.329 0.014
Y 0.315 0.671 0.986
Y 0.315 0.329 0.644
Y 0.685 0.671 0.356
Bi 0.000 0.500 0.500
Bi 0.000 0.000 0.000
Ru 0.500 0.124 0.624
Ru 0.500 0.876 0.376
Ru 0.668 0.668 0.000
Ru 0.332 0.332 0.000

Summary:
The density of states at the Fermi level comes out at 8.1 states/eV/f.u. The calculation puts the total energy at -7.23 eV/atom. The formation energy from the elements is -3.82 eV/f.u.

***

[19]
Y2BiRu2 after structural relaxation. Source: Alexandria, functional GGA-PBE.

Unit cell a=7.212 b=7.212 c=4.318 alpha=90.00 beta=90.00 gamma=90.00
Sites, in units of the cell vectors:
Y 0.178 0.678 0.500
Y 0.678 0.822 0.500
Y 0.822 0.322 0.500
Y 0.322 0.178 0.500
Ru 0.382 0.882 0.000
Ru 0.882 0.618 0.000
Ru 0.618 0.118 0.000
Ru 0.118 0.382 0.000
Bi 0.000 0.000 0.000
Bi 0.500 0.500 0.000

Summary:
The density of states at the Fermi level comes out at 4.4 states/eV/f.u. The calculation puts the total energy at -7.36 eV/atom. The formation energy from the elements is -1.42 eV/f.u.

***

[20]
YBi2Ru2 after structural relaxation. Source: Alexandria, functional GGA-PBE.

Unit cell a=4.970 b=4.970 c=5.877 alpha=64.99 beta=64.99 gamma=90.00
Sites, in units of the cell vectors:
Y 0.000 0.000 0.000
Ru 0.373 0.373 0.254
Ru 0.627 0.627 0.746
Bi 0.750 0.250 0.500
Bi 0.250 0.750 0.500

Summary:
The density of states at the Fermi level comes out at 4.8 states/eV/f.u. The calculation puts the total energy at -6.45 eV/atom. The formation energy from the elements is 0.50 eV/f.u. The calculation puts the relative energy among the computed polymorphs at 28 meV per atom.

***

[21]
YBiRu after structural relaxation. Source: Alexandria, functional GGA-PBE.

Unit cell a=4.764 b=7.860 c=7.309 alpha=90.00 beta=90.00 gamma=90.00
Sites, in units of the cell vectors:
Y 0.250 0.789 0.489
Y 0.750 0.289 0.011
Y 0.250 0.711 0.989
Y 0.750 0.211 0.511
Bi 0.750 0.891 0.222
Bi 0.750 0.609 0.722
Bi 0.250 0.109 0.778
Bi 0.250 0.391 0.278
Ru 0.750 0.554 0.348
Ru 0.750 0.946 0.848
Ru 0.250 0.054 0.152
Ru 0.250 0.446 0.652

Summary:
The density of states at the Fermi level comes out at 1.2 states/eV/f.u. The calculation puts the total energy at -6.94 eV/atom. The formation energy from the elements is -1.20 eV/f.u.

***

[22]
Y8Bi2Ru3 after structural relaxation. Source: Alexandria, functional GGA-PBE.

Unit cell a=4.910 b=9.823 c=9.085 alpha=122.67 beta=90.00 gamma=90.00
Sites, in units of the cell vectors:
Y 0.000 0.605 0.209
Y 0.000 0.395 0.791
Y 0.000 0.109 0.218
Y 0.000 0.891 0.782
Y 0.500 0.649 0.788
Y 0.500 0.138 0.787
Y 0.500 0.862 0.213
Y 0.500 0.351 0.212
Bi 0.500 0.257 0.513
Bi 0.500 0.743 0.487
Ru 0.500 0.000 0.000
Ru 0.000 0.247 0.000
Ru 0.000 0.753 0.000

Summary:
The density of states at the Fermi level comes out at 9.1 states/eV/f.u. The calculation puts the total energy at -7.14 eV/atom. The formation energy from the elements is -5.55 eV/f.u.

***

[23]
Y7Bi2Ru2 after structural relaxation. Source: Alexandria, functional GGA-PBE.

Unit cell a=3.977 b=9.631 c=9.631 alpha=58.55 beta=78.08 gamma=78.08
Sites, in units of the cell vectors:
Y 0.817 0.084 0.283
Y 0.844 0.421 0.892
Y 0.500 0.021 0.979
Y 0.632 0.473 0.264
Y 0.368 0.736 0.527
Y 0.183 0.717 0.916
Y 0.156 0.108 0.579
Bi 0.000 0.762 0.238
Bi 0.500 0.353 0.647
Ru 0.742 0.847 0.668
Ru 0.258 0.332 0.153

Summary:
The density of states at the Fermi level comes out at 9.7 states/eV/f.u. The calculation puts the total energy at -6.98 eV/atom. The formation energy from the elements is -5.27 eV/f.u.

***

[24]
Y5BiRu2 after structural relaxation. Source: Alexandria, functional GGA-PBE.

Unit cell a=7.778 b=7.778 c=8.827 alpha=116.14 beta=116.14 gamma=90.00
Sites, in units of the cell vectors:
Y 0.524 0.712 0.737
Y 0.788 0.976 0.263
Y 0.000 0.000 0.000
Y 0.500 0.500 0.000
Y 0.212 0.024 0.737
Y 0.712 0.212 0.737
Y 0.024 0.524 0.737
Y 0.288 0.788 0.263
Y 0.976 0.476 0.263
Y 0.476 0.288 0.263
Bi 0.750 0.750 0.500
Bi 0.250 0.250 0.500
Ru 0.141 0.359 0.000
Ru 0.641 0.141 0.000
Ru 0.359 0.859 0.000
Ru 0.859 0.641 0.000

Summary:
The density of states at the Fermi level comes out at 7.4 states/eV/f.u. The calculation puts the total energy at -7.32 eV/atom. The formation energy from the elements is -3.80 eV/f.u.